This record from Alexandria describes a relaxed Ho4AlAg3 crystal. The functional is PBE-GGA.

Properties
Calculated volume (Å³/atom): 24.34
Mass density (Mg/m³): 8.616
E (eV for the cell shown): -33.0
ΔE to the lowest computed polymorph (meV per atom): 47.4
M_tot (μB per formula unit): 0.00
Energy of formation (meV/atom): -298

Cell: 3.6392 4.7308 11.3101 Å, 90.00 90.00 90.00°
Closest atoms and distances in Å follow each position.
Fractional coordinates of all 8 atoms:
Al 0.5000 0.5000 0.0757  2 Ag 2.91, 7 Ho 3.11-3.15
Ho 0.0000 0.0000 0.1523  3 Ag 3.06-3.14, 4 Al 3.11
Ho 0.5000 0.5000 0.3524  6 Ag 3.09-3.14, 1 Al 3.13
Ho 0.0000 0.5000 0.8482  5 Ag 3.05-3.11, 2 Al 3.15
Ho 0.5000 0.0000 0.6446  7 Ag 3.08-3.18
Ag 0.0000 0.0000 0.4230  2 Ag 2.95, 7 Ho 3.06-3.10
Ag 0.0000 0.5000 0.5783  2 Ag 2.95, 7 Ho 3.05-3.14
Ag 0.5000 0.0000 0.9255  2 Al 2.91, 7 Ho 3.11-3.18